Entry 1:
Nd9TmCd2 | PBE | relaxed

The space group is P4/mmm (No. 123) and the conventional cell measures 5.0189, 5.0189 and 15.2475 Å, with angles of 90.00, 90.00 and 90.00 degrees. The inequivalent atoms are Nd at (0.0000, 0.0000, 0.0000), Nd at (0.0000, 0.0000, 0.3358), Nd at (0.0000, 0.5000, 0.1715), Nd at (0.0000, 0.5000, 0.5000), Tm at (0.5000, 0.5000, 0.0000) and Cd at (0.5000, 0.5000, 0.3396).

For the total energy, the calculation gives -4.1650 eV per atom. Its formation enthalpy at 0 K is -0.8 eV per formula unit. The total moment is 0.000 μB per cell.



Entry 2:
NdTm6Cd | PBE | relaxed

The space group is C2/m (No. 12) and the conventional cell measures 6.5387, 11.4741 and 6.4163 Å, with angles of 90.00, 90.14 and 90.00 degrees. The inequivalent atoms are Nd at (0.0000, 0.0000, 0.0000), Tm at (0.0759, 0.5000, 0.2556), Tm at (0.2030, 0.2109, 0.2556) and Cd at (0.0000, 0.0000, 0.5000).

For the total energy, the calculation gives -3.9035 eV per atom. Its formation enthalpy at 0 K is 1.3 eV per formula unit. The total moment is 0.000 μB per cell.



Entry 3:
NdTm2Cd4 | PBE | relaxed

The space group is I4/mmm (No. 139) and the conventional cell measures 5.3173, 5.3173 and 14.0686 Å, with angles of 90.00, 90.00 and 90.00 degrees. The inequivalent atoms are Nd at (0.0000, 0.0000, 0.0000), Tm at (0.0000, 0.0000, 0.2566) and Cd at (0.0000, 0.5000, 0.1226).

For the total energy, the calculation gives -2.6176 eV per atom. Its formation enthalpy at 0 K is -1.0 eV per formula unit. The total moment is 0.000 μB per cell.



Entry 4:
Nd2VCd | PBE | relaxed

The space group is R-3m (No. 166, hexagonal axes) and the conventional cell measures 3.3205, 3.3205 and 34.1336 Å, with angles of 90.00, 90.00 and 120.00 degrees. The inequivalent atoms are Nd at (0.0000, 0.0000, 0.0832), V at (0.0000, 0.0000, 0.0000) and Cd at (0.0000, 0.0000, 0.5000).

For the total energy, the calculation gives -4.3213 eV per atom. Its formation enthalpy at 0 K is 2.3 eV per formula unit. The total moment is 8.385 μB per cell.



Entry 5:
NdYCd6 | PBE | relaxed

The space group is Amm2 (No. 38) and the conventional cell measures 4.9344, 7.1401 and 11.1414 Å, with angles of 90.00, 90.00 and 90.00 degrees. The inequivalent atoms are Nd at (0.0000, 0.0000, 0.0000), Y at (0.5000, 0.0000, 0.2817), Cd at (0.0000, 0.0000, 0.4669), Cd at (0.0000, 0.2187, 0.7330), Cd at (0.5000, 0.0000, 0.8100) and Cd at (0.5000, 0.2154, 0.5491).

For the total energy, the calculation gives -2.3901 eV per atom. Its formation enthalpy at 0 K is -2.4 eV per formula unit. The total moment is 0.000 μB per cell.



Entry 6:
NdY2Cd5 | PBE | relaxed

The space group is I4/mmm (No. 139) and the conventional cell measures 5.2031, 5.2031 and 15.0378 Å, with angles of 90.00, 90.00 and 90.00 degrees. The inequivalent atoms are Nd at (0.0000, 0.0000, 0.0000), Y at (0.0000, 0.0000, 0.2632), Cd at (0.0000, 0.0000, 0.5000) and Cd at (0.0000, 0.5000, 0.1229).

For the total energy, the calculation gives -3.1152 eV per atom. Its formation enthalpy at 0 K is -2.6 eV per formula unit. The total moment is 0.000 μB per cell.



> Which of these has the lowest formation enthalpy at 0 K?

NdY2Cd5



> What is the total moment in the third record?

0.000 μB per cell